1.
# Rb2LaCuC PBEsol optimized geometry
data_Rb2LaCuC
_cell_length_a 6.813
_cell_length_b 6.813
_cell_length_c 3.597
_cell_angle_alpha 90.00
_cell_angle_beta 90.00
_cell_angle_gamma 90.00
_space_group_name_H-M_alt 'P 4/m m m'
_space_group_IT_number 123
_space_group_name_Hall '-P 4 2'
loop_
_atom_site_label
_atom_site_type_symbol
_atom_site_fract_x
_atom_site_fract_y
_atom_site_fract_z
Rb1 Rb 0.000 0.500 0.000
La1 La 0.000 0.000 0.500
Cu1 Cu 0.500 0.500 0.000
C1 C 0.500 0.500 0.500
# Total energy   -15.7 eV for the cell shown
# Crystal system   tetragonal

---

2.
# LiCuC3 PBEsol optimized geometry
data_LiCuC3
_cell_length_a 3.559
_cell_length_b 3.559
_cell_length_c 3.559
_cell_angle_alpha 90.00
_cell_angle_beta 90.00
_cell_angle_gamma 90.00
_space_group_name_H-M_alt 'P m -3 m'
_space_group_IT_number 221
_space_group_name_Hall '-P 4 2 3'
loop_
_atom_site_label
_atom_site_type_symbol
_atom_site_fract_x
_atom_site_fract_y
_atom_site_fract_z
Li1 Li 0.000 0.000 0.000
Cu1 Cu 0.500 0.500 0.500
C1 C 0.000 0.000 0.500
# Total energy   -20.6 eV for the cell shown
# Crystal system   cubic

---

3.
# LiCuCO3 PBEsol optimized geometry
data_LiCuCO3
_cell_length_a 5.158
_cell_length_b 5.867
_cell_length_c 8.810
_cell_angle_alpha 90.00
_cell_angle_beta 90.00
_cell_angle_gamma 90.00
_space_group_name_H-M_alt 'C m m e'
_space_group_IT_number 67
_space_group_name_Hall '-C 2a 2'
loop_
_atom_site_label
_atom_site_type_symbol
_atom_site_fract_x
_atom_site_fract_y
_atom_site_fract_z
Li1 Li 0.000 0.250 0.133
Cu1 Cu 0.250 0.250 0.500
C1 C 0.000 0.250 0.780
O1 O 0.000 0.250 0.923
O2 O 0.222 0.250 0.708
# Energy relative to the lowest polymorph listed for this composition   0.195 eV/f.u.
# Total energy   -158.5 eV for the cell shown
# Crystal system   orthorhombic

---

Listing V for the structures above in their given order: 33.40 9.02 11.11 Å³/atom.
Listing size of the total moment for the structures above in their given order: 1.28 0.00 0.00 Bohr magnetons per cell.